The following is a DFT calculation (PBE) of KOsPd after structural relaxation.

Cell: 4.671 4.671 4.671 Å, 60.00 60.00 60.00°
Atoms (fractional coordinates):
Os: 0.750 0.750 0.750
K: 0.250 0.250 0.250
Pd: 0.000 0.000 0.000

## Properties
crystal system	cubic
raw total energy	-12.5	eV for the cell shown
distance to the lowest polymorph of the same formula	0	meV per atom